1.
The following is a DFT calculation (PBE) of a relaxed NaNpSb2O8 crystal.

abc: 6.9833 7.3621 6.3209
angles: 90.00 90.00 90.00
Space group Cmmm (No. 65)
Symmetry-distinct sites (fractional):
1 Na 0.0000 0.0000 0.0000 x2
2 Np 0.0000 0.0000 0.5000 x2
3 Sb 0.0000 0.5000 0.2456 x4
4 O 0.0000 0.3177 0.5000 x4
5 O 0.0000 0.3236 0.0000 x4
6 O 0.2118 0.0000 0.2735 x8

- Formation energy (no corrections): -181 kJ/mol of atoms


2.
The following is a DFT calculation (PBE) of a relaxed Ta2BeOs crystal.

abc: 3.6649 4.0271 4.1128
angles: 90.00 90.00 90.00
Space group Pmmm (No. 47)
Symmetry-distinct sites (fractional):
1 Ta 0.0000 0.0000 0.0000 x1
2 Ta 0.0000 0.5000 0.5000 x1
3 Be 0.5000 0.0000 0.5000 x1
4 Os 0.5000 0.5000 0.0000 x1

- Energy of formation: -78 meV per atom


Number 1: volume 324.97 Å³ per cell, total DFT energy (no corrections) -7.057 eV per atom. Number 2: volume 60.70 Å³ per cell, total DFT energy (no corrections) -9.744 eV per atom.